VASP calculation (PBE) on a relaxed RbGaPbCl2 crystal.

The total magnetization is 1.00 Bohr magnetons per cell. The calculation puts the density of states at the Fermi level at 0.858 states/eV per atom. As for the theoretical density: 4.169 Mg/m³. The value obtained for the formation energy from raw total energies is -0.60 eV per atom.

Cell and atoms, written as POSCAR:
```
RbGaPbCl2
1.0
5.5990 0.0000 0.0000
0.0000 5.5059 0.0000
0.0000 0.0000 5.5990
Pb Ga Rb Cl
1 1 1 2
direct
0.0000 0.5000 0.0000 Pb
0.0000 0.0000 0.0000 Ga
0.5000 0.5000 0.5000 Rb
0.0000 0.0000 0.5000 Cl
0.5000 0.0000 0.0000 Cl
```